# 1
Below is a geometry-optimized TmSiSn structure, with properties calculated at the PBE level.

Summary:
VASP energy = -5.153 eV/atom
D(E_F) = 0.361 states/eV/atom
Formation energy without anion corrections = -521 meV per atom
Spin magnetization = 0.00 μB per cell
Crystal system = orthorhombic

a = 4.263 Å, b = 16.004 Å, c = 3.932 Å
α = 90.00°, β = 90.00°, γ = 90.00°
Space group Cmcm (No. 63)
Unique sites:
Tm 0.000 0.093 0.250 (multiplicity 4)
Si 0.000 0.452 0.250 (multiplicity 4)
Sn 0.000 0.258 0.750 (multiplicity 4)



# 2
Below is a geometry-optimized Pr4DyHo10 structure, with properties calculated at the PBE level.

Summary:
VASP energy = -4.364 eV/atom
Formation energy = 269.1 meV/atom
D(E_F) = 1.419 states/eV/atom
Spin magnetization = 0.00 μB per cell
Crystal system = tetragonal

a = 11.290 Å, b = 11.290 Å, c = 7.976 Å
α = 90.00°, β = 90.00°, γ = 90.00°
Space group I4/mmm (No. 139)
Unique sites:
Pr 0.227 0.227 0.000 (multiplicity 8)
Dy 0.000 0.000 0.000 (multiplicity 2)
Ho 0.000 0.208 0.294 (multiplicity 16)
Ho 0.000 0.500 0.250 (multiplicity 4)



# 3
Below is a geometry-optimized TlGaSnAu structure, with properties calculated at the PBE level.

Summary:
VASP energy = -3.096 eV/atom
Formation energy = 72.0 meV/atom
D(E_F) = 0.752 states/eV/atom
Spin magnetization = 0.00 μB per cell
Crystal system = cubic

a = 7.235 Å, b = 7.235 Å, c = 7.235 Å
α = 90.00°, β = 90.00°, γ = 90.00°
Space group F-43m (No. 216)
Unique sites:
Tl 0.000 0.000 0.000 (multiplicity 4)
Ga 0.250 0.250 0.250 (multiplicity 4)
Sn 0.000 0.000 0.500 (multiplicity 4)
Au 0.250 0.250 0.750 (multiplicity 4)